Computed, not measured: an optimized crystal structure of Li4NpF8 at the GGA-PBE level of DFT.

The calculation puts the density of states at the Fermi level at 10.5 states/eV/f.u. The value obtained for the uncorrected formation energy is -2.87 eV/atom.

POSCAR file:
```
Li4NpF8
1.0
-4.913 -0.271 -3.597
-5.458 -1.288 2.389
-4.274 4.332 0.347
F Li Np
8 4 1
Direct
0.610 0.169 0.610 F
0.592 0.136 0.136 F
0.136 0.136 0.592 F
0.610 0.610 0.610 F
0.610 0.610 0.169 F
0.136 0.136 0.136 F
0.169 0.610 0.610 F
0.136 0.592 0.136 F
0.358 0.358 0.927 Li
0.927 0.358 0.358 Li
0.358 0.927 0.358 Li
0.358 0.358 0.358 Li
0.750 0.750 0.750 Np
```

=====

Computed, not measured: an optimized crystal structure of Li2NpF8 at the GGA-PBE level of DFT.

The calculation puts the density of states at the Fermi level at 4.0 states/eV/f.u. The value obtained for the uncorrected formation energy is -2.78 eV/atom. For the polymorph energy (0 for the lowest one), the calculation gives 98.9 meV per atom.

POSCAR file:
```
Li2NpF8
1.0
-0.757 4.378 -1.977
-4.364 0.778 3.111
4.739 1.805 1.900
Li Np F
2 1 8
Direct
0.000 0.712 0.288 Li
0.000 0.288 0.712 Li
0.500 0.000 0.000 Np
0.500 0.777 0.223 F
0.500 0.223 0.777 F
0.141 0.078 0.328 F
0.141 0.328 0.078 F
0.331 0.687 0.687 F
0.669 0.313 0.313 F
0.859 0.922 0.672 F
0.859 0.672 0.922 F
```

=====

Computed, not measured: an optimized crystal structure of Li2NpF8 at the GGA-PBE level of DFT.

The calculation puts the density of states at the Fermi level at 8.1 states/eV/f.u. The value obtained for the uncorrected formation energy is -2.88 eV/atom. For the polymorph energy (0 for the lowest one), the calculation gives 0.0 meV per atom.

POSCAR file:
```
Li2NpF8
1.0
4.603 0.081 0.129
-0.010 6.102 -3.514
0.197 -0.822 5.752
F Np Li
8 1 2
Direct
0.253 0.170 0.344 F
0.735 0.390 0.790 F
0.752 0.308 0.207 F
0.250 0.106 0.804 F
0.750 0.894 0.196 F
0.265 0.610 0.210 F
0.248 0.692 0.793 F
0.747 0.830 0.656 F
0.000 0.000 0.000 Np
0.680 0.600 0.199 Li
0.320 0.400 0.801 Li
```

=====

Computed, not measured: an optimized crystal structure of Li2NpF5 at the GGA-PBE level of DFT.

The calculation puts the density of states at the Fermi level at 7.3 states/eV/f.u. The value obtained for the uncorrected formation energy is -3.15 eV/atom.

POSCAR file:
```
Li2NpF5
1.0
3.687 0.000 0.000
0.000 4.966 0.000
0.000 0.000 11.604
F Li Np
10 4 2
Direct
0.500 0.968 0.615 F
0.500 0.562 0.165 F
0.000 0.540 0.000 F
0.000 0.032 0.115 F
0.000 0.438 0.335 F
0.500 0.562 0.835 F
0.500 0.968 0.385 F
0.000 0.032 0.885 F
0.500 0.460 0.500 F
0.000 0.438 0.665 F
0.500 0.600 0.667 Li
0.000 0.400 0.167 Li
0.500 0.600 0.333 Li
0.000 0.400 0.833 Li
0.000 0.150 0.500 Np
0.500 0.850 0.000 Np
```